# Sc2HW, optimized geometry, DFT PBE
# Space-group type = Fm-3m
# Energy above the lowest structure with this stoichiometry = 0.419 eV per atom
data_Sc2HW
_cell_length_a 4.568
_cell_length_b 4.568
_cell_length_c 4.568
_cell_angle_alpha 60.00
_cell_angle_beta 60.00
_cell_angle_gamma 60.00
_symmetry_space_group_name_H-M 'P 1'
_symmetry_Int_Tables_number 1
_symmetry_space_group_name_Hall 'P 1'
loop_
_atom_site_label
_atom_site_fract_x
_atom_site_fract_y
_atom_site_fract_z
H1 0.000 0.000 0.000
W1 0.500 0.500 0.500
Sc1 0.750 0.750 0.750
Sc2 0.250 0.250 0.250



# Pr4AlAu, optimized geometry, DFT PBE
# Space-group type = Cmc2_1
# Energy of formation from the pure elements = -1.3 eV per formula unit
data_Pr4AlAu
_cell_length_a 5.534
_cell_length_b 6.512
_cell_length_c 11.368
_cell_angle_alpha 90.00
_cell_angle_beta 104.09
_cell_angle_gamma 90.00
_symmetry_space_group_name_H-M 'P 1'
_symmetry_Int_Tables_number 1
_symmetry_space_group_name_Hall 'P 1'
loop_
_atom_site_label
_atom_site_fract_x
_atom_site_fract_y
_atom_site_fract_z
Al1 0.841 0.820 0.681
Au1 0.575 0.839 0.150
Pr1 0.717 0.552 0.434
Pr2 0.696 0.072 0.392
Al2 0.159 0.320 0.319
Pr3 0.885 0.299 0.770
Au2 0.425 0.339 0.850
Pr4 0.560 0.352 0.120
Pr5 0.440 0.852 0.880
Pr6 0.115 0.799 0.230
Pr7 0.283 0.052 0.566
Pr8 0.304 0.572 0.608



# Zn2BrF2, optimized geometry, DFT PBE
# Space-group type = I4_1md
# Uncorrected formation energy = -1.31 eV per atom
# Energy above the lowest structure with this stoichiometry = 0.013 eV per atom
data_Zn2BrF2
_cell_length_a 5.645
_cell_length_b 5.645
_cell_length_c 6.794
_cell_angle_alpha 114.54
_cell_angle_beta 114.54
_cell_angle_gamma 90.00
_symmetry_space_group_name_H-M 'P 1'
_symmetry_Int_Tables_number 1
_symmetry_space_group_name_Hall 'P 1'
loop_
_atom_site_label
_atom_site_fract_x
_atom_site_fract_y
_atom_site_fract_z
Zn1 0.424 0.201 0.402
Zn2 0.451 0.729 0.902
F1 0.178 0.402 0.803
Zn3 0.979 0.201 0.402
Br1 0.975 0.975 0.950
Br2 0.225 0.725 0.450
F2 0.625 0.402 0.803
F3 0.652 0.375 0.303
F4 0.652 0.928 0.303
Zn4 0.451 0.174 0.902



# Sm2DyPu3Se6, optimized geometry, DFT PBE
# Space-group type = C2/m
# Uncorrected formation energy = -1.69 eV per atom
data_Sm2DyPu3Se6
_cell_length_a 4.129
_cell_length_b 8.309
_cell_length_c 9.277
_cell_angle_alpha 103.41
_cell_angle_beta 102.86
_cell_angle_gamma 90.00
_symmetry_space_group_name_H-M 'P 1'
_symmetry_Int_Tables_number 1
_symmetry_space_group_name_Hall 'P 1'
loop_
_atom_site_label
_atom_site_fract_x
_atom_site_fract_y
_atom_site_fract_z
Se1 0.335 0.919 0.670
Dy1 0.500 0.000 0.000
Pu1 0.168 0.834 0.336
Pu2 0.832 0.166 0.664
Sm1 0.833 0.665 0.666
Se2 0.665 0.081 0.330
Se3 0.334 0.414 0.669
Sm2 0.167 0.335 0.334
Se4 0.999 0.245 0.998
Pu3 0.500 0.500 0.000
Se5 0.001 0.755 0.002
Se6 0.666 0.586 0.331



# Hf2NpMo, optimized geometry, DFT PBE
# Space-group type = R-3m
# Energy of formation from the pure elements = 1.9 eV per formula unit
data_Hf2NpMo
_cell_length_a 3.107
_cell_length_b 3.107
_cell_length_c 10.401
_cell_angle_alpha 81.41
_cell_angle_beta 81.41
_cell_angle_gamma 60.00
_symmetry_space_group_name_H-M 'P 1'
_symmetry_Int_Tables_number 1
_symmetry_space_group_name_Hall 'P 1'
loop_
_atom_site_label
_atom_site_fract_x
_atom_site_fract_y
_atom_site_fract_z
Hf1 0.902 0.902 0.295
Mo1 0.500 0.500 0.500
Hf2 0.098 0.098 0.705
Np1 0.000 0.000 0.000



# PmSnGePt, optimized geometry, DFT PBE
# Space-group type = F-43m
# Energy of formation from the pure elements = -2.1 eV per formula unit
data_PmSnGePt
_cell_length_a 4.983
_cell_length_b 4.983
_cell_length_c 4.983
_cell_angle_alpha 60.00
_cell_angle_beta 60.00
_cell_angle_gamma 60.00
_symmetry_space_group_name_H-M 'P 1'
_symmetry_Int_Tables_number 1
_symmetry_space_group_name_Hall 'P 1'
loop_
_atom_site_label
_atom_site_fract_x
_atom_site_fract_y
_atom_site_fract_z
Pt1 0.750 0.750 0.750
Ge1 0.250 0.250 0.250
Pm1 0.500 0.500 0.500
Sn1 0.000 0.000 0.000



# TlBiCl3, optimized geometry, DFT PBE
# Space-group type = Pm-3m
# Uncorrected formation energy = -0.17 eV per atom
# Energy above the lowest structure with this stoichiometry = 0.704 eV per atom
data_TlBiCl3
_cell_length_a 5.495
_cell_length_b 5.495
_cell_length_c 5.495
_cell_angle_alpha 90.00
_cell_angle_beta 90.00
_cell_angle_gamma 90.00
_symmetry_space_group_name_H-M 'P 1'
_symmetry_Int_Tables_number 1
_symmetry_space_group_name_Hall 'P 1'
loop_
_atom_site_label
_atom_site_fract_x
_atom_site_fract_y
_atom_site_fract_z
Cl1 0.500 0.000 0.000
Tl1 0.000 0.000 0.000
Bi1 0.500 0.500 0.500
Cl2 0.000 0.000 0.500
Cl3 0.000 0.500 0.000



# DyEr3Pd6, optimized geometry, DFT PBE
# Space-group type = P2_1/m
# Energy of formation from the pure elements = -8.8 eV per formula unit
data_DyEr3Pd6
_cell_length_a 4.609
_cell_length_b 8.070
_cell_length_c 11.214
_cell_angle_alpha 103.99
_cell_angle_beta 90.00
_cell_angle_gamma 90.00
_symmetry_space_group_name_H-M 'P 1'
_symmetry_Int_Tables_number 1
_symmetry_space_group_name_Hall 'P 1'
loop_
_atom_site_label
_atom_site_fract_x
_atom_site_fract_y
_atom_site_fract_z
Pd1 0.750 0.956 0.150
Pd2 0.250 0.145 0.187
Pd3 0.750 0.855 0.813
Pd4 0.250 0.665 0.747
Er1 0.750 0.637 0.186
Dy1 0.250 0.906 0.593
Pd5 0.250 0.438 0.083
Er2 0.250 0.363 0.814
Pd6 0.750 0.335 0.253
Pd7 0.750 0.731 0.444
Pd8 0.250 0.269 0.556
Pd9 0.750 0.562 0.917
Pd10 0.250 0.848 0.298
Pd11 0.750 0.152 0.702
Dy2 0.750 0.094 0.407
Er3 0.750 0.513 0.622
Er4 0.250 0.810 0.007
Er5 0.750 0.190 0.993
Pd12 0.250 0.044 0.850
Er6 0.250 0.487 0.378



# Tm2AlNi3, optimized geometry, DFT PBE
# Space-group type = Immm
# Energy of formation from the pure elements = -1.8 eV per formula unit
# Energy above the lowest structure with this stoichiometry = 0.249 eV per atom
data_Tm2AlNi3
_cell_length_a 4.246
_cell_length_b 5.048
_cell_length_c 5.958
_cell_angle_alpha 115.07
_cell_angle_beta 110.88
_cell_angle_gamma 90.00
_symmetry_space_group_name_H-M 'P 1'
_symmetry_Int_Tables_number 1
_symmetry_space_group_name_Hall 'P 1'
loop_
_atom_site_label
_atom_site_fract_x
_atom_site_fract_y
_atom_site_fract_z
Tm1 0.688 0.188 0.376
Ni1 0.619 0.619 0.237
Tm2 0.312 0.812 0.624
Al1 0.000 0.500 0.000
Ni2 0.000 0.000 0.000
Ni3 0.381 0.381 0.763



# KBaRe2O8, optimized geometry, DFT PBE
# Space-group type = P-3m1
# Uncorrected formation energy = -1.94 eV per atom
data_KBaRe2O8
_cell_length_a 6.170
_cell_length_b 6.170
_cell_length_c 8.213
_cell_angle_alpha 90.00
_cell_angle_beta 90.00
_cell_angle_gamma 120.00
_symmetry_space_group_name_H-M 'P 1'
_symmetry_Int_Tables_number 1
_symmetry_space_group_name_Hall 'P 1'
loop_
_atom_site_label
_atom_site_fract_x
_atom_site_fract_y
_atom_site_fract_z
O1 0.826 0.652 0.253
Re1 0.333 0.667 0.812
O2 0.174 0.348 0.747
O3 0.652 0.826 0.747
O4 0.826 0.174 0.253
K1 0.000 0.000 0.500
Ba1 0.000 0.000 0.000
O5 0.333 0.667 0.028
O6 0.174 0.826 0.747
O7 0.667 0.333 0.972
O8 0.348 0.174 0.253
Re2 0.667 0.333 0.188



# Tb6Sm3Pu, optimized geometry, DFT PBE
# Space-group type = R3
# Energy of formation from the pure elements = 2.5 eV per formula unit
data_Tb6Sm3Pu
_cell_length_a 9.842
_cell_length_b 9.842
_cell_length_c 6.881
_cell_angle_alpha 44.35
_cell_angle_beta 44.35
_cell_angle_gamma 60.00
_symmetry_space_group_name_H-M 'P 1'
_symmetry_Int_Tables_number 1
_symmetry_space_group_name_Hall 'P 1'
loop_
_atom_site_label
_atom_site_fract_x
_atom_site_fract_y
_atom_site_fract_z
Tb1 0.405 0.733 0.791
Tb2 0.222 0.903 0.294
Sm1 0.653 0.653 0.041
Sm2 0.139 0.139 0.584
Tb3 0.071 0.405 0.791
Tb4 0.581 0.222 0.294
Pu1 0.897 0.897 0.310
Tb5 0.903 0.581 0.294
Tb6 0.733 0.071 0.791
Sm3 0.397 0.397 0.809



# Mg8Tl3In3, optimized geometry, DFT PBE
# Space-group type = C2/m
# Energy of formation from the pure elements = 0.5 eV per formula unit
data_Mg8Tl3In3
_cell_length_a 4.975
_cell_length_b 9.941
_cell_length_c 9.941
_cell_angle_alpha 71.37
_cell_angle_beta 60.02
_cell_angle_gamma 60.02
_symmetry_space_group_name_H-M 'P 1'
_symmetry_Int_Tables_number 1
_symmetry_space_group_name_Hall 'P 1'
loop_
_atom_site_label
_atom_site_fract_x
_atom_site_fract_y
_atom_site_fract_z
Mg1 0.588 0.838 0.575
Mg2 0.412 0.425 0.162
Tl1 0.991 0.755 0.755
Tl2 0.500 0.500 0.500
Mg3 0.756 0.105 0.639
In1 0.000 0.212 0.788
Tl3 0.009 0.245 0.245
Mg4 0.756 0.639 0.105
Mg5 0.588 0.575 0.838
In2 0.500 0.000 0.000
Mg6 0.244 0.895 0.361
Mg7 0.244 0.361 0.895
Mg8 0.412 0.162 0.425
In3 0.000 0.788 0.212



no.,spin magnetization (Bohr magnetons per cell)
1,0.0
2,0.0
3,0.0
4,17.4
5,3.0
6,0.0
7,2.0
8,0.0
9,0.0
10,1.1
11,8.1
12,0.0